(1)
Density functional theory data (PBE-GGA) for crystalline Ca6Tl5Ge at its relaxed geometry.

Computed properties:
The density of states at the Fermi level is 6.0 states/eV per cell. For the total energy, the calculation gives -33.9 eV per cell.

Cell: 5.433 7.709 8.627 Å, 90.00 108.24 90.00°
Space group P2/m (No. 10)
Symmetry-distinct sites (fractional):
Ca  0.000  0.234  0.000 [2 per cell]
Ca  0.339  0.244  0.681 [4 per cell]
Tl  0.171  0.500  0.338 [2 per cell]
Tl  0.177  0.000  0.351 [2 per cell]
Tl  0.500  0.500  0.000 [1 per cell]
Ge  0.500  0.000  0.000 [1 per cell]

***

(2)
Density functional theory data (PBE-GGA) for crystalline HfMg3In at its relaxed geometry.

Computed properties:
The calculation puts the energy relative to the lowest polymorph listed for this composition at 293 meV per atom. The density of states at the Fermi level is 8.6 states/eV per cell. For the total energy, the calculation gives -11.9 eV per cell.

Cell: 5.666 5.666 5.666 Å, 90.00 90.00 90.00°
Space group Pm-3m (No. 221)
Symmetry-distinct sites (fractional):
Hf  0.000  0.000  0.000 [1 per cell]
Mg  0.000  0.000  0.500 [3 per cell]
In  0.500  0.500  0.500 [1 per cell]

***

(3)
Density functional theory data (PBE-GGA) for crystalline PmNd2Y4Mg at its relaxed geometry.

Computed properties:
The density of states at the Fermi level is 12.8 states/eV per cell. For the total energy, the calculation gives -41.5 eV per cell.

Cell: 5.021 5.021 10.257 Å, 90.00 90.00 90.00°
Space group P4/mmm (No. 123)
Symmetry-distinct sites (fractional):
Pm  0.000  0.000  0.000 [1 per cell]
Nd  0.000  0.000  0.500 [1 per cell]
Nd  0.500  0.500  0.000 [1 per cell]
Y  0.000  0.500  0.254 [4 per cell]
Mg  0.500  0.500  0.500 [1 per cell]

***

(4)
Density functional theory data (PBE-GGA) for crystalline LiBiP2O7 at its relaxed geometry.

Computed properties:
The calculation puts the energy relative to the lowest polymorph listed for this composition at 0 meV per atom. The density of states at the Fermi level is 0.0 states/eV per cell. For the total energy, the calculation gives -297.3 eV per cell.

Cell: 5.257 8.388 13.461 Å, 90.00 112.97 90.00°
Space group P2_1/c (No. 14)
Symmetry-distinct sites (fractional):
Li  0.247  0.138  0.403 [4 per cell]
Bi  0.466  0.699  0.775 [4 per cell]
P  0.069  0.523  0.335 [4 per cell]
P  0.161  0.713  0.979 [4 per cell]
O  0.027  0.156  0.841 [4 per cell]
O  0.141  0.176  0.541 [4 per cell]
O  0.180  0.596  0.454 [4 per cell]
O  0.207  0.103  0.233 [4 per cell]
O  0.259  0.621  0.900 [4 per cell]
O  0.296  0.557  0.291 [4 per cell]
O  0.371  0.695  0.095 [4 per cell]

***

(5)
Density functional theory data (PBE-GGA) for crystalline K2RbVPt at its relaxed geometry.

Computed properties:
The density of states at the Fermi level is 7.5 states/eV per cell. For the total energy, the calculation gives -11.9 eV per cell.

Cell: 6.150 6.150 6.259 Å, 90.00 90.00 90.00°
Space group P4/mmm (No. 123)
Symmetry-distinct sites (fractional):
K  0.000  0.500  0.000 [2 per cell]
Rb  0.000  0.000  0.500 [1 per cell]
V  0.000  0.000  0.000 [1 per cell]
Pt  0.500  0.500  0.500 [1 per cell]

***

(6)
Density functional theory data (PBE-GGA) for crystalline Nd2NiSe at its relaxed geometry.

Computed properties:
The calculation puts the energy relative to the lowest polymorph listed for this composition at 0 meV per atom. The density of states at the Fermi level is 10.5 states/eV per cell. For the total energy, the calculation gives -91.8 eV per cell.

Cell: 4.034 23.113 4.285 Å, 90.00 90.00 90.00°
Space group Cmcm (No. 63)
Symmetry-distinct sites (fractional):
Nd  0.000  0.062  0.250 [4 per cell]
Nd  0.000  0.320  0.250 [4 per cell]
Ni  0.000  0.469  0.250 [4 per cell]
Se  0.000  0.191  0.250 [4 per cell]

***

(7)
Density functional theory data (PBE-GGA) for crystalline EuLuIn at its relaxed geometry.

Computed properties:
The calculation puts the energy relative to the lowest polymorph listed for this composition at 40 meV per atom. The density of states at the Fermi level is 2.2 states/eV per cell. For the total energy, the calculation gives -18.1 eV per cell.

Cell: 5.3597 5.3597 3.6100 Å, 90.00 90.00 120.00°
Space group P3m1 (No. 156)
Symmetry-distinct sites (fractional):
Eu  0.0000  0.0000  0.0000 [1 per cell]
Lu  0.6667  0.3333  0.5563 [1 per cell]
In  0.3333  0.6667  0.3951 [1 per cell]

***

(8)
Density functional theory data (PBE-GGA) for crystalline BaBeGe at its relaxed geometry.

Computed properties:
The density of states at the Fermi level is 1.4 states/eV per cell. For the total energy, the calculation gives -22.3 eV per cell.

Cell: 5.718 3.993 7.190 Å, 90.00 101.20 90.00°
Space group P2_1/m (No. 11)
Symmetry-distinct sites (fractional):
Ba  0.186  0.250  0.293 [2 per cell]
Be  0.405  0.750  0.957 [2 per cell]
Ge  0.289  0.250  0.790 [2 per cell]

***

(9)
Density functional theory data (PBE-GGA) for crystalline Zr2ReCCl at its relaxed geometry.

Computed properties:
The calculation puts the energy relative to the lowest polymorph listed for this composition at 0 meV per atom. The density of states at the Fermi level is 3.1 states/eV per cell. For the total energy, the calculation gives -40.6 eV per cell.

Cell: 4.783 4.783 3.879 Å, 90.00 90.00 90.00°
Space group P4/mmm (No. 123)
Symmetry-distinct sites (fractional):
Zr  0.000  0.500  0.000 [2 per cell]
Re  0.000  0.000  0.500 [1 per cell]
C  0.000  0.000  0.000 [1 per cell]
Cl  0.500  0.500  0.500 [1 per cell]

***

(10)
Density functional theory data (PBE-GGA) for crystalline Ce2TaNi3Ge4 at its relaxed geometry.

Computed properties:
The density of states at the Fermi level is 11.9 states/eV per cell. For the total energy, the calculation gives -65.5 eV per cell.

Cell: 4.118 4.118 10.384 Å, 90.00 90.00 90.00°
Space group P-4m2 (No. 115)
Symmetry-distinct sites (fractional):
Ce  0.000  0.500  0.233 [2 per cell]
Ta  0.000  0.000  0.500 [1 per cell]
Ni  0.000  0.500  0.881 [2 per cell]
Ni  0.500  0.500  0.500 [1 per cell]
Ge  0.000  0.000  0.000 [1 per cell]
Ge  0.000  0.500  0.652 [2 per cell]
Ge  0.500  0.500  0.000 [1 per cell]